Record 1
# Pm14DyTh, relaxed, DFT PBE-GGA
data_Pm14DyTh
_cell_length_a 7.274
_cell_length_b 7.274
_cell_length_c 10.321
_cell_angle_alpha 90.00
_cell_angle_beta 90.00
_cell_angle_gamma 90.00
_symmetry_space_group_name_H-M 'P 4/m m m'
_symmetry_Int_Tables_number 123
_symmetry_space_group_name_Hall '-P 4 2'
loop_
_atom_site_label
_atom_site_type_symbol
_atom_site_fract_x
_atom_site_fract_y
_atom_site_fract_z
_atom_site_occupancy
Pm1 Pm 0.000 0.000 0.000 1
Pm2 Pm 0.000 0.500 0.000 1
Pm3 Pm 0.000 0.500 0.500 1
Pm4 Pm 0.248 0.248 0.253 1
Pm5 Pm 0.500 0.500 0.000 1
Dy1 Dy 0.500 0.500 0.500 1
Th1 Th 0.000 0.000 0.500 1
# Energy relative to the elements (eV per atom): 0.022
# Total DFT energy (no corrections) (eV/cell): -78.2
# Total magnetic moment (μB/atom): 0.000
# Fermi-level density of states (states/eV/cell): 22.9


Record 2
# Pm8Dy2Th, relaxed, DFT PBE-GGA
data_Pm8Dy2Th
_cell_length_a 18.488
_cell_length_b 5.126
_cell_length_c 8.120
_cell_angle_alpha 90.00
_cell_angle_beta 105.33
_cell_angle_gamma 90.00
_symmetry_space_group_name_H-M 'C 1 2/m 1'
_symmetry_Int_Tables_number 12
_symmetry_space_group_name_Hall '-C 2y'
loop_
_atom_site_label
_atom_site_type_symbol
_atom_site_fract_x
_atom_site_fract_y
_atom_site_fract_z
_atom_site_occupancy
Pm1 Pm 0.045 0.000 0.234 1
Pm2 Pm 0.091 0.500 0.952 1
Pm3 Pm 0.135 0.000 0.682 1
Pm4 Pm 0.180 0.500 0.410 1
Dy1 Dy 0.228 0.000 0.135 1
Th1 Th 0.000 0.500 0.500 1
# Energy relative to the elements (eV per atom): 0.030
# Total DFT energy (no corrections) (eV/cell): -108.6
# ΔE to the lowest computed polymorph (eV/atom): 0.0000
# Total magnetic moment (μB/atom): 0.000
# Fermi-level density of states (states/eV/cell): 32.7


Record 3
# Pm3Dy6Th, relaxed, DFT PBE-GGA
data_Pm3Dy6Th
_cell_length_a 9.9055
_cell_length_b 9.9055
_cell_length_c 11.7708
_cell_angle_alpha 90.00
_cell_angle_beta 90.00
_cell_angle_gamma 120.00
_symmetry_space_group_name_H-M 'R 3 2'
_symmetry_Int_Tables_number 155
_symmetry_space_group_name_Hall 'R 3 2"'
loop_
_atom_site_label
_atom_site_type_symbol
_atom_site_fract_x
_atom_site_fract_y
_atom_site_fract_z
_atom_site_occupancy
Pm1 Pm 0.0000 0.0000 0.0000 1
Pm2 Pm 0.0000 0.0000 0.2431 1
Dy1 Dy 0.0000 0.3266 0.5000 1
Dy2 Dy 0.0000 0.6687 0.0000 1
Th1 Th 0.0000 0.0000 0.5000 1
# Energy relative to the elements (eV per atom): 0.300
# Total DFT energy (no corrections) (eV/cell): -138.9
# ΔE to the lowest computed polymorph (eV/atom): 0.2225
# Total magnetic moment (μB/atom): 0.000
# Fermi-level density of states (states/eV/cell): 59.6


Record 4
# Pm2DyTh, relaxed, DFT PBE-GGA
data_Pm2DyTh
_cell_length_a 3.5493
_cell_length_b 3.5493
_cell_length_c 37.3012
_cell_angle_alpha 90.00
_cell_angle_beta 90.00
_cell_angle_gamma 120.00
_symmetry_space_group_name_H-M 'R -3 m'
_symmetry_Int_Tables_number 166
_symmetry_space_group_name_Hall '-R 3 2"'
loop_
_atom_site_label
_atom_site_type_symbol
_atom_site_fract_x
_atom_site_fract_y
_atom_site_fract_z
_atom_site_occupancy
Pm1 Pm 0.0000 0.0000 0.0906 1
Dy1 Dy 0.0000 0.0000 0.0000 1
Th1 Th 0.0000 0.0000 0.5000 1
# Energy relative to the elements (eV per atom): 0.169
# Total DFT energy (no corrections) (eV/cell): -62.5
# ΔE to the lowest computed polymorph (eV/atom): 0.1641
# Total magnetic moment (μB/atom): 0.087
# Fermi-level density of states (states/eV/cell): 18.7


Record 5
# Pm2Dy3Th, relaxed, DFT PBE-GGA
data_Pm2Dy3Th
_cell_length_a 6.982
_cell_length_b 16.189
_cell_length_c 3.540
_cell_angle_alpha 90.00
_cell_angle_beta 90.00
_cell_angle_gamma 90.00
_symmetry_space_group_name_H-M 'P n n m'
_symmetry_Int_Tables_number 58
_symmetry_space_group_name_Hall '-P 2 2n'
loop_
_atom_site_label
_atom_site_type_symbol
_atom_site_fract_x
_atom_site_fract_y
_atom_site_fract_z
_atom_site_occupancy
Pm1 Pm 0.250 0.155 0.000 1
Dy1 Dy 0.000 0.000 0.500 1
Dy2 Dy 0.246 0.349 0.500 1
Th1 Th 0.000 0.500 0.000 1
# Energy relative to the elements (eV per atom): 0.130
# Total DFT energy (no corrections) (eV/cell): -59.9
# ΔE to the lowest computed polymorph (eV/atom): 0.0200
# Total magnetic moment (μB/atom): 0.000
# Fermi-level density of states (states/eV/cell): 16.8


Record 6
# Pm8Dy5Th, relaxed, DFT PBE-GGA
data_Pm8Dy5Th
_cell_length_a 9.687
_cell_length_b 9.687
_cell_length_c 10.226
_cell_angle_alpha 90.00
_cell_angle_beta 90.00
_cell_angle_gamma 90.00
_symmetry_space_group_name_H-M 'I -4'
_symmetry_Int_Tables_number 82
_symmetry_space_group_name_Hall 'I -4'
loop_
_atom_site_label
_atom_site_type_symbol
_atom_site_fract_x
_atom_site_fract_y
_atom_site_fract_z
_atom_site_occupancy
Pm1 Pm 0.067 0.172 0.156 1
Pm2 Pm 0.093 0.321 0.501 1
Dy1 Dy 0.000 0.500 0.250 1
Dy2 Dy 0.110 0.296 0.827 1
Th1 Th 0.000 0.000 0.500 1
# Energy relative to the elements (eV per atom): 0.281
# Total DFT energy (no corrections) (eV/cell): -129.0
# Total magnetic moment (μB/atom): 0.000
# Fermi-level density of states (states/eV/cell): 44.1


Record 7
# PmDy4Th4, relaxed, DFT PBE-GGA
data_PmDy4Th4
_cell_length_a 10.708
_cell_length_b 10.708
_cell_length_c 5.049
_cell_angle_alpha 90.00
_cell_angle_beta 90.00
_cell_angle_gamma 90.00
_symmetry_space_group_name_H-M 'I 4/m m m'
_symmetry_Int_Tables_number 139
_symmetry_space_group_name_Hall '-I 4 2'
loop_
_atom_site_label
_atom_site_type_symbol
_atom_site_fract_x
_atom_site_fract_y
_atom_site_fract_z
_atom_site_occupancy
Pm1 Pm 0.000 0.000 0.000 1
Dy1 Dy 0.170 0.170 0.500 1
Th1 Th 0.000 0.336 0.000 1
# Energy relative to the elements (eV per atom): 0.039
# Total DFT energy (no corrections) (eV/cell): -105.0
# Total magnetic moment (μB/atom): 0.000
# Fermi-level density of states (states/eV/cell): 27.0


Record 8
# PmDyTh, relaxed, DFT PBE-GGA
data_PmDyTh
_cell_length_a 3.606
_cell_length_b 3.606
_cell_length_c 15.133
_cell_angle_alpha 90.00
_cell_angle_beta 90.00
_cell_angle_gamma 90.00
_symmetry_space_group_name_H-M 'I 4 m m'
_symmetry_Int_Tables_number 107
_symmetry_space_group_name_Hall 'I 4 -2'
loop_
_atom_site_label
_atom_site_type_symbol
_atom_site_fract_x
_atom_site_fract_y
_atom_site_fract_z
_atom_site_occupancy
Pm1 Pm 0.000 0.000 0.000 1
Dy1 Dy 0.000 0.000 0.680 1
Th1 Th 0.000 0.000 0.338 1
# Energy relative to the elements (eV per atom): 0.028
# Total DFT energy (no corrections) (eV/cell): -33.4
# ΔE to the lowest computed polymorph (eV/atom): 0.0050
# Total magnetic moment (μB/atom): 0.000
# Fermi-level density of states (states/eV/cell): 7.9


Record 9
# Pm11Dy9Th4, relaxed, DFT PBE-GGA
data_Pm11Dy9Th4
_cell_length_a 17.026
_cell_length_b 25.656
_cell_length_c 3.707
_cell_angle_alpha 90.00
_cell_angle_beta 90.00
_cell_angle_gamma 90.00
_symmetry_space_group_name_H-M 'C m m m'
_symmetry_Int_Tables_number 65
_symmetry_space_group_name_Hall '-C 2 2'
loop_
_atom_site_label
_atom_site_type_symbol
_atom_site_fract_x
_atom_site_fract_y
_atom_site_fract_z
_atom_site_occupancy
Pm1 Pm 0.000 0.000 0.000 1
Pm2 Pm 0.000 0.158 0.000 1
Pm3 Pm 0.000 0.368 0.000 1
Pm4 Pm 0.207 0.500 0.000 1
Pm5 Pm 0.227 0.182 0.000 1
Dy1 Dy 0.000 0.500 0.500 1
Dy2 Dy 0.101 0.264 0.500 1
Dy3 Dy 0.139 0.073 0.500 1
Th1 Th 0.157 0.398 0.500 1
# Energy relative to the elements (eV per atom): 0.112
# Total DFT energy (no corrections) (eV/cell): -241.3
# Total magnetic moment (μB/atom): 0.000
# Fermi-level density of states (states/eV/cell): 68.6


Record 10
# Pm3Dy8Th3, relaxed, DFT PBE-GGA
data_Pm3Dy8Th3
_cell_length_a 5.666
_cell_length_b 10.726
_cell_length_c 15.061
_cell_angle_alpha 90.00
_cell_angle_beta 90.00
_cell_angle_gamma 90.00
_symmetry_space_group_name_H-M 'I m m m'
_symmetry_Int_Tables_number 71
_symmetry_space_group_name_Hall '-I 2 2'
loop_
_atom_site_label
_atom_site_type_symbol
_atom_site_fract_x
_atom_site_fract_y
_atom_site_fract_z
_atom_site_occupancy
Pm1 Pm 0.000 0.000 0.000 1
Pm2 Pm 0.000 0.309 0.000 1
Dy1 Dy 0.000 0.158 0.224 1
Dy2 Dy 0.000 0.340 0.396 1
Th1 Th 0.000 0.000 0.500 1
Th2 Th 0.000 0.500 0.186 1
# Energy relative to the elements (eV per atom): 0.159
# Total DFT energy (no corrections) (eV/cell): -142.2
# Total magnetic moment (μB/atom): 0.000
# Fermi-level density of states (states/eV/cell): 40.9


Record 11
# Pm3Dy3Th2, relaxed, DFT PBE-GGA
data_Pm3Dy3Th2
_cell_length_a 5.065
_cell_length_b 5.073
_cell_length_c 20.473
_cell_angle_alpha 90.00
_cell_angle_beta 90.00
_cell_angle_gamma 90.00
_symmetry_space_group_name_H-M 'I m m m'
_symmetry_Int_Tables_number 71
_symmetry_space_group_name_Hall '-I 2 2'
loop_
_atom_site_label
_atom_site_type_symbol
_atom_site_fract_x
_atom_site_fract_y
_atom_site_fract_z
_atom_site_occupancy
Pm1 Pm 0.000 0.000 0.000 1
Pm2 Pm 0.000 0.500 0.128 1
Dy1 Dy 0.000 0.000 0.500 1
Dy2 Dy 0.000 0.500 0.372 1
Th1 Th 0.000 0.000 0.250 1
# Energy relative to the elements (eV per atom): 0.030
# Total DFT energy (no corrections) (eV/cell): -85.3
# ΔE to the lowest computed polymorph (eV/atom): 0.0000
# Total magnetic moment (μB/atom): 0.000
# Fermi-level density of states (states/eV/cell): 18.4


Record 12
# Pm12Dy6Th, relaxed, DFT PBE-GGA
data_Pm12Dy6Th
_cell_length_a 13.2848
_cell_length_b 13.2848
_cell_length_c 12.8528
_cell_angle_alpha 90.00
_cell_angle_beta 90.00
_cell_angle_gamma 120.00
_symmetry_space_group_name_H-M 'R -3 m'
_symmetry_Int_Tables_number 166
_symmetry_space_group_name_Hall '-R 3 2"'
loop_
_atom_site_label
_atom_site_type_symbol
_atom_site_fract_x
_atom_site_fract_y
_atom_site_fract_z
_atom_site_occupancy
Pm1 Pm 0.0000 0.2627 0.0000 1
Pm2 Pm 0.0566 0.5283 0.1134 1
Dy1 Dy 0.0880 0.1760 0.7723 1
Th1 Th 0.0000 0.0000 0.0000 1
# Energy relative to the elements (eV per atom): 0.128
# Total DFT energy (no corrections) (eV/cell): -268.8
# Total magnetic moment (μB/atom): 0.000
# Fermi-level density of states (states/eV/cell): 81.4